[1]
## SrPmNd (GGA-PBE)

Data for an optimized crystal structure of SrPmNd.

Calculated values
* crystal system: trigonal
* energy: -3.63 eV per atom
* ΔE_f: 30.0 kJ/mol of formula units

```
3
Lattice="3.812 0.000 0.000 -1.906 3.301 0.000 0.000 0.000 9.485" Properties=species:S:1:pos:R:3 pbc="T T T"
Sr 0.000 0.000 0.009
Nd 0.000 2.201 6.142
Pm 1.906 1.100 3.334
```



[2]
## NaLaIn2 (GGA-PBE)

Data for an optimized crystal structure of NaLaIn2.

Calculated values
* crystal system: tetragonal
* energy: -3.25 eV per atom
* ΔE_f: -122.0 kJ/mol of formula units

```
4
Lattice="4.090 0.000 0.000 0.000 5.366 0.000 0.000 0.000 5.366" Properties=species:S:1:pos:R:3 pbc="T T T"
Na 2.045 2.683 2.683
In 0.000 0.000 2.683
In 0.000 2.683 0.000
La 2.045 0.000 0.000
```



[3]
## Na2TaTcMo (GGA-PBE)

Data for an optimized crystal structure of Na2TaTcMo.

Calculated values
* crystal system: tetragonal
* energy: -5.07 eV per atom
* ΔE_f: 995.9 kJ/mol of formula units

```
5
Lattice="-4.592 -0.692 1.531 1.575 -1.574 4.011 -0.080 4.541 1.813" Properties=species:S:1:pos:R:3 pbc="T T T"
Na -0.040 2.270 0.906
Na -2.296 -0.346 0.766
Mo 0.787 -0.787 2.006
Tc 0.000 0.000 0.000
Ta -1.549 1.137 3.678
```



[4]
## Er2Tm7Al2 (GGA-PBE)

Data for an optimized crystal structure of Er2Tm7Al2.

Calculated values
* crystal system: monoclinic
* energy: -4.37 eV per atom
* ΔE_f: -16.3 kJ/mol of formula units

```
11
Lattice="5.670 2.183 3.150 1.438 7.740 3.097 1.438 0.182 8.334" Properties=species:S:1:pos:R:3 pbc="T T T"
Er 4.273 2.597 8.992
Er 4.273 7.507 5.590
Tm 1.959 1.342 5.194
Tm 6.586 5.713 11.502
Tm 6.586 8.763 9.388
Tm 1.959 4.392 3.080
Tm 0.000 0.000 0.000
Tm 5.249 5.833 8.418
Tm 3.296 4.271 6.164
Al 6.174 3.975 5.736
Al 2.371 6.130 8.846
```



[5]
## ScSe2N (GGA-PBE)

Data for an optimized crystal structure of ScSe2N.

Calculated values
* crystal system: trigonal
* energy: -5.30 eV per atom
* uncorrected formation energy: 0.11 eV per atom

```
4
Lattice="2.640 -5.031 3.834 5.696 -2.669 2.723 3.326 -1.583 5.781" Properties=species:S:1:pos:R:3 pbc="T T T"
Sc 5.831 -4.642 6.169
Se 10.587 -8.428 11.200
Se 1.075 -0.856 1.137
N 0.000 0.000 0.000
```



[6]
## CaMgH (GGA-PBE)

Data for an optimized crystal structure of CaMgH.

Calculated values
* crystal system: tetragonal
* energy: -2.61 eV per atom

```
6
Lattice="3.837 0.000 0.000 0.000 3.837 0.000 0.000 0.000 8.485" Properties=species:S:1:pos:R:3 pbc="T T T"
Ca 0.000 1.919 7.246
Ca 1.919 0.000 1.239
Mg 0.000 1.919 3.548
Mg 1.919 0.000 4.937
H 0.000 0.000 0.000
H 1.919 1.919 0.000
```



Question: Look up the energy of the fifth one.
Answer: -5.30 eV per atom